[1]
CdHgW: single point on PBEsol structure, meta-GGA SCAN.

The structure in extended XYZ format:
```
3
Lattice="4.736 0.000 0.000 -2.368 4.102 0.000 0.000 0.000 2.810" Properties=species:S:1:pos:R:3 pbc="T T T"
Cd 0.000 0.000 0.000
Hg 0.000 2.734 0.013
W 2.368 1.367 1.408
```

Results
- Formation energy: 0.995 eV/atom



[2]
Cd2HgW: single point on PBEsol structure, meta-GGA SCAN.

The structure in extended XYZ format:
```
4
Lattice="2.916 -4.413 0.000 2.916 4.413 0.000 0.000 0.000 2.880" Properties=species:S:1:pos:R:3 pbc="T T T"
Cd 1.458 2.207 0.000
Cd 1.458 -2.207 0.000
Hg 0.000 0.000 1.440
W 2.916 0.000 1.440
```

Results
- Formation energy: 0.526 eV/atom



[3]
Cd2HgW: single point on PBEsol structure, meta-GGA SCAN.

The structure in extended XYZ format:
```
4
Lattice="4.161 0.000 0.000 0.000 4.161 0.000 0.000 0.000 4.223" Properties=species:S:1:pos:R:3 pbc="T T T"
Cd 0.000 2.081 0.000
Cd 2.081 0.000 0.000
Hg 0.000 0.000 2.111
W 2.081 2.081 2.111
```

Results
- Formation energy: 0.654 eV/atom



[4]
Cd2HgW: single point on PBEsol structure, meta-GGA SCAN.

The structure in extended XYZ format:
```
4
Lattice="-1.439 2.591 5.102 1.439 -2.591 5.102 1.439 2.591 -5.102" Properties=species:S:1:pos:R:3 pbc="T T T"
Cd 0.000 0.000 0.000
Cd 0.000 2.591 2.469
Hg 0.000 0.000 4.956
W 1.439 0.000 2.487
```

Results
- Formation energy: 0.678 eV/atom



[5]
YCdHg4: single point on PBEsol structure, meta-GGA SCAN.

The structure in extended XYZ format:
```
6
Lattice="0.000 4.115 4.115 4.115 0.000 4.115 4.115 4.115 0.000" Properties=species:S:1:pos:R:3 pbc="T T T"
Y 0.000 0.000 0.000
Cd 2.057 2.057 2.057
Hg 5.145 3.085 3.085
Hg 3.085 5.145 3.085
Hg 3.085 3.085 5.145
Hg 5.145 5.145 5.145
```

Results
- Formation energy: -0.086 eV/atom



[6]
Y4CdHg: single point on PBEsol structure, meta-GGA SCAN.

The structure in extended XYZ format:
```
6
Lattice="0.000 4.356 4.356 4.356 0.000 4.356 4.356 4.356 0.000" Properties=species:S:1:pos:R:3 pbc="T T T"
Y 1.089 1.089 1.089
Y 3.266 3.266 1.089
Y 3.266 1.089 3.266
Y 1.089 3.266 3.266
Cd 6.533 6.533 6.533
Hg 4.356 4.356 4.356
```

Results
- Formation energy: 0.282 eV/atom



[7]
ZnCd2Hg: single point on PBEsol structure, meta-GGA SCAN.

The structure in extended XYZ format:
```
4
Lattice="3.043 0.000 0.000 0.000 3.043 0.000 0.000 0.000 8.454" Properties=species:S:1:pos:R:3 pbc="T T T"
Zn 0.000 0.000 0.000
Cd 0.000 0.000 4.186
Cd 1.522 1.522 1.931
Hg 1.522 1.522 6.488
```

Results
- Formation energy: 0.091 eV/atom



[8]
ZnCdHg2: single point on PBEsol structure, meta-GGA SCAN.

The structure in extended XYZ format:
```
4
Lattice="3.072 0.000 0.000 0.000 3.072 0.000 0.000 0.000 8.510" Properties=species:S:1:pos:R:3 pbc="T T T"
Zn 0.000 0.000 0.000
Cd 1.536 1.536 1.895
Hg 0.000 0.000 4.178
Hg 1.536 1.536 6.582
```

Results
- Formation energy: 0.104 eV/atom